# RbCrReO6

An optimized crystal structure of RbCrReO6 (PBE+U, Alexandria).

Properties
The calculated total energy comes out at -7.258 eV per atom. The calculation puts the total moment at 0.22 μB per atom.

Unit cell a=5.0820 b=5.2676 c=6.2928 alpha=90.82 beta=91.68 gamma=61.16
Element x y z (fractional)
O 0.6100 0.0062 0.3351
Re 0.3355 0.3288 0.5002
Cr 0.6578 0.6844 0.4998
Rb 0.0033 0.9933 0.0001
O 0.3834 0.0064 0.6649
O 0.4139 0.5820 0.3245
O 0.0038 0.5825 0.6755
O 0.5829 0.4082 0.6800
O 0.0090 0.4083 0.3199